Hf2Al2Fe2CoIr | PBE | optimized geometry

The calculation puts the electronic total energy at -8.117 eV/atom. The spin magnetization comes out at 0.0 μB/f.u.

The structure belongs to space group P-4m2 (No. 115); the cell edges are 4.3016, 4.3016 and 6.0912 Å and the angles 90.00°, 90.00° and 90.00°. Symmetry generates all atoms from Hf at (0.0000, 0.5000, 0.2403), Al at (0.0000, 0.5000, 0.7520), Fe at (0.0000, 0.0000, 0.0000), Fe at (0.5000, 0.5000, 0.5000), Co at (0.5000, 0.5000, 0.0000) and Ir at (0.0000, 0.0000, 0.5000).



Hf2Al2FeCoPt2 | PBE | optimized geometry

The calculation puts the electronic total energy at -7.618 eV/atom. The spin magnetization comes out at 0.2 μB/f.u.

The structure belongs to space group P-4m2 (No. 115); the cell edges are 4.4262, 4.4262 and 6.2621 Å and the angles 90.00°, 90.00° and 90.00°. Symmetry generates all atoms from Hf at (0.0000, 0.5000, 0.2502), Al at (0.0000, 0.5000, 0.7495), Fe at (0.0000, 0.0000, 0.5000), Co at (0.5000, 0.5000, 0.0000), Pt at (0.0000, 0.0000, 0.0000) and Pt at (0.5000, 0.5000, 0.5000).



AlFeCoHg | PBE | optimized geometry

Its relative energy among the computed polymorphs is 0 meV/atom. The spin magnetization comes out at 3.0 μB/f.u.

The structure belongs to space group F-43m (No. 216); the cell edges are 6.0892, 6.0892 and 6.0892 Å and the angles 90.00°, 90.00° and 90.00°. Symmetry generates all atoms from Al at (0.0000, 0.0000, 0.0000), Fe at (0.2500, 0.2500, 0.7500), Co at (0.2500, 0.2500, 0.2500) and Hg at (0.0000, 0.0000, 0.5000).



Ho2Al4FeCo | PBE | optimized geometry

The calculation puts the electronic total energy at -5.396 eV/atom. The spin magnetization comes out at 0.5 μB/f.u.

The structure belongs to space group Amm2 (No. 38); the cell edges are 7.0507, 4.0193 and 9.9073 Å and the angles 90.00°, 90.00° and 90.00°. Symmetry generates all atoms from Ho at (0.0000, 0.0000, 0.0000), Ho at (0.5000, 0.0000, 0.1229), Al at (0.1924, 0.0000, 0.7194), Al at (0.3045, 0.0000, 0.4041), Fe at (0.5000, 0.0000, 0.8462) and Co at (0.0000, 0.0000, 0.2756).